Here is a relaxed structure of AcTiMnGe2 from Alexandria. Energies are from PBE.

a b c (Å): 6.5282 6.5282 6.5282
angles (deg): 141.97 141.97 54.88
Atoms (fractional coordinates):
1 Ac 0.0000 0.0000 0.0000
2 Ti 0.2500 0.7500 0.5000
3 Mn 0.7500 0.2500 0.5000
4 Ge 0.3771 0.3771 0.0000
5 Ge 0.6229 0.6229 0.0000

Computed properties:
As for the crystal system: tetragonal. The calculation puts the density of states at the Fermi level at 4.35 states/eV/cell. As for the space-group type: I-4m2. As for the formation energy: -0.519 eV per atom. The calculation puts the size of the total moment at 2.2 μB per formula unit.